Entry 1:
Rb2CeSm2S6: optimized geometry, PBE-GGA.

Summary:
mass density = 3858 kg/m³
E_form (uncorrected) = -1.83 eV/atom

Unit cell a=7.1356 b=7.1356 c=8.1992 alpha=98.46 beta=98.46 gamma=119.84
With the nearest neighbours (Å) after each atom.
Element x y z (fractional)
Rb1 0.1687 0.8313 0.0000  6 S 3.40-3.43
Rb2 0.8313 0.1687 0.0000  6 S 3.40-3.43
Ce1 0.0000 0.0000 0.5000  6 S 2.74-2.76
Sm1 0.3340 0.6660 0.5000  6 S 2.81-2.83
Sm2 0.6660 0.3340 0.5000  6 S 2.81-2.83
S1 0.0609 0.3892 0.6876  1 Ce 2.76, 2 Sm 2.81-2.83
S2 0.2599 0.2599 0.3126  1 Ce 2.74, 2 Sm 2.82
S3 0.3892 0.0609 0.6876  1 Ce 2.76, 2 Sm 2.81-2.83
S4 0.6108 0.9391 0.3124  1 Ce 2.76, 2 Sm 2.81-2.83
S5 0.7401 0.7401 0.6874  1 Ce 2.74, 2 Sm 2.82
S6 0.9391 0.6108 0.3124  1 Ce 2.76, 2 Sm 2.81-2.83

Entry 2:
MgVInS4: optimized geometry, PBE-GGA.

Summary:
mass density = 3592 kg/m³
density of states at the Fermi level = 6.48 states/eV per cell
E_form (uncorrected) = -0.88 eV/atom

Unit cell a=7.5253 b=7.5253 c=7.5253 alpha=122.65 beta=120.24 gamma=87.53
With the nearest neighbours (Å) after each atom.
Element x y z (fractional)
Mg1 0.0000 0.0000 0.0000  4 S 2.43-2.49
Mg2 0.7502 0.2502 0.5000  4 S 2.46-2.49
V1 0.3697 0.0987 0.7290  6 S 2.42-2.54
V2 0.3697 0.6407 0.2710  6 S 2.42-2.54
In1 0.3622 0.6099 0.7524  6 S 2.60-2.74
In2 0.8575 0.6099 0.2476  6 S 2.60-2.74
S1 0.1254 0.8616 0.2638  2 V 2.42, 1 Mg 2.49
S2 0.1436 0.4019 0.2583  1 Mg 2.43, 1 V 2.46, 2 In 2.60
S3 0.1436 0.8853 0.7417  1 Mg 2.43, 1 V 2.46, 2 In 2.60
S4 0.1532 0.3697 0.7835  1 Mg 2.49, 2 V 2.54, 1 In 2.62
S5 0.5863 0.3697 0.2165  1 Mg 2.49, 2 V 2.54, 1 In 2.62
S6 0.5946 0.3419 0.7473  1 V 2.45, 1 Mg 2.46, 2 In 2.61
S7 0.5946 0.8473 0.2527  1 V 2.45, 1 Mg 2.46, 2 In 2.61
S8 0.5978 0.8616 0.7362  2 V 2.42, 1 Mg 2.49

Entry 3:
Pr3ErTl3Te8: optimized geometry, PBE-GGA.

Summary:
mass density = 6382 kg/m³
density of states at the Fermi level = 7.27 states/eV per cell
E_form (uncorrected) = -1.06 eV/atom

Unit cell a=9.0496 b=9.0496 c=9.6840 alpha=117.83 beta=117.83 gamma=60.03
With the nearest neighbours (Å) after each atom.
Element x y z (fractional)
Pr1 0.0000 0.0000 0.0000  6 Te 3.20
Pr2 0.0000 0.5000 0.0000  6 Te 3.20
Pr3 0.5000 0.0000 0.0000  6 Te 3.20
Er1 0.5000 0.5000 0.0000  6 Te 3.09
Tl1 0.0000 0.5000 0.5000  6 Te 3.44-3.45
Tl2 0.5000 0.0000 0.5000  6 Te 3.44-3.45
Tl3 0.5000 0.5000 0.5000  6 Te 3.44-3.45
Te1 0.2419 0.2419 0.2257  3 Pr 3.20, 3 Tl 3.44
Te2 0.2502 0.7339 0.2180  1 Er 3.09, 2 Pr 3.20, 2 Tl 3.45
Te3 0.2661 0.2661 0.7820  1 Er 3.09, 2 Pr 3.20, 2 Tl 3.45
Te4 0.2661 0.7498 0.7820  1 Er 3.09, 2 Pr 3.20, 2 Tl 3.45
Te5 0.7339 0.2502 0.2180  1 Er 3.09, 2 Pr 3.20, 2 Tl 3.45
Te6 0.7339 0.7339 0.2180  1 Er 3.09, 2 Pr 3.20, 2 Tl 3.45
Te7 0.7498 0.2661 0.7820  1 Er 3.09, 2 Pr 3.20, 2 Tl 3.45
Te8 0.7581 0.7581 0.7743  3 Pr 3.20, 3 Tl 3.44

Entry 4:
Be2TlAs: optimized geometry, PBE-GGA.

Summary:
mass density = 6581 kg/m³
density of states at the Fermi level = 1.87 states/eV per cell
energy of formation = 0.40 eV/atom

Unit cell a=3.9047 b=4.8046 c=7.9987 alpha=90.00 beta=90.00 gamma=90.00
With the nearest neighbours (Å) after each atom.
Element x y z (fractional)
Be1 0.0000 0.0000 0.0000  2 Be 2.20, 2 As 2.34
Be2 0.0000 0.5000 0.1254  2 Be 2.20, 1 As 2.30
Be3 0.5000 0.0000 0.1254  2 Be 2.20, 1 As 2.30
Be4 0.5000 0.5000 0.0000  2 Be 2.20, 2 As 2.34
Tl1 0.0000 0.0000 0.3927  5 Be 2.90-3.22, 4 Tl 3.10
Tl2 0.5000 0.5000 0.3927  5 Be 2.90-3.22, 4 Tl 3.10
As1 0.0000 0.5000 0.8380  3 Be 2.30-2.34
As2 0.5000 0.0000 0.8380  3 Be 2.30-2.34

Entry 5:
Lu2PaAu: optimized geometry, PBE-GGA.

Summary:
mass density = 13254 kg/m³
density of states at the Fermi level = 6.30 states/eV per cell
energy of formation = -0.32 eV/atom

Unit cell a=3.4562 b=3.4562 c=8.1587 alpha=90.00 beta=90.00 gamma=90.00
With the nearest neighbours (Å) after each atom.
Element x y z (fractional)
Lu1 0.0000 0.0000 0.2193  4 Au 3.03, 4 Pa 3.35
Lu2 0.0000 0.0000 0.7807  4 Au 3.03, 4 Pa 3.35
Pa1 0.5000 0.5000 0.5000  8 Lu 3.35, 4 Pa 3.46
Au1 0.5000 0.5000 0.0000  8 Lu 3.03

Entry 6:
Pr2Dy12Sc: optimized geometry, PBE-GGA.

Summary:
mass density = 7725 kg/m³
density of states at the Fermi level = 45.17 states/eV per cell
energy of formation = 0.16 eV/atom

Unit cell a=6.6543 b=6.6543 c=24.5877 alpha=90.00 beta=90.00 gamma=115.97
With the nearest neighbours (Å) after each atom.
Element x y z (fractional)
Pr1 0.2500 0.7500 0.2376  2 Pr 3.53, 10 Dy 3.68-3.91
Pr2 0.2500 0.7500 0.7682  2 Pr 3.53, 8 Dy 3.62-3.78
Pr3 0.7500 0.2500 0.2318  2 Pr 3.53, 8 Dy 3.62-3.78
Pr4 0.7500 0.2500 0.7624  2 Pr 3.53, 10 Dy 3.68-3.91
Dy1 0.0003 0.9997 0.4270  2 Sc 3.34-3.35, 9 Dy 3.48-3.59
Dy2 0.9997 0.0003 0.5730  2 Sc 3.34-3.35, 9 Dy 3.48-3.59
Dy3 0.0007 0.5007 0.6205  8 Dy 3.37-3.54, 2 Sc 3.45
Dy4 0.0122 0.5122 0.0847  7 Dy 3.29-3.58
Dy5 0.0146 0.9854 0.9384  5 Dy 3.05-3.29
Dy6 0.2500 0.2500 0.1741  7 Dy 3.22-3.58
Dy7 0.2500 0.2500 0.3049  7 Dy 3.22-3.53
Dy8 0.2500 0.2500 0.6951  7 Dy 3.22-3.53
Dy9 0.2500 0.2500 0.8259  7 Dy 3.22-3.58
Dy10 0.4854 0.5146 0.9384  5 Dy 3.05-3.29
Dy11 0.4878 0.9878 0.0847  7 Dy 3.29-3.58
Dy12 0.4993 0.9993 0.6205  8 Dy 3.37-3.54, 2 Sc 3.45
Dy13 0.4997 0.5003 0.4270  2 Sc 3.34-3.35, 9 Dy 3.48-3.59
Dy14 0.5003 0.4997 0.5730  2 Sc 3.34-3.35, 9 Dy 3.48-3.59
Dy15 0.5007 0.0007 0.3795  8 Dy 3.37-3.54, 2 Sc 3.45
Dy16 0.5122 0.0122 0.9153  7 Dy 3.29-3.58
Dy17 0.5146 0.4854 0.0616  5 Dy 3.05-3.29
Dy18 0.7500 0.7500 0.1741  7 Dy 3.22-3.58
Dy19 0.7500 0.7500 0.3049  7 Dy 3.22-3.53
Dy20 0.7500 0.7500 0.6951  7 Dy 3.22-3.53
Dy21 0.7500 0.7500 0.8259  7 Dy 3.22-3.58
Dy22 0.9854 0.0146 0.0616  5 Dy 3.05-3.29
Dy23 0.9878 0.4878 0.9153  7 Dy 3.29-3.58
Dy24 0.9993 0.4993 0.3795  8 Dy 3.37-3.54, 2 Sc 3.45
Sc1 0.2500 0.7500 0.5000  8 Dy 3.34-3.45, 2 Sc 3.53
Sc2 0.7500 0.2500 0.5000  8 Dy 3.34-3.45, 2 Sc 3.53